(1)
Material: InAg3
Method: DFT, GGA-PBE
State: optimized geometry

The volume comes out at 76.5 Å³/cell. As for the energy relative to the elements: -0.01 eV per atom.

The structure belongs to space group Pmm2 (No. 25); the cell edges are 3.027, 4.806 and 5.262 Å and the angles 90.00°, 90.00° and 90.00°. The asymmetric unit holds In at (0.000, 0.000, 0.000), Ag at (0.000, 0.500, 0.670), Ag at (0.500, 0.000, 0.502) and Ag at (0.500, 0.500, 0.178).

=====

(2)
Material: CaTb2Sm
Method: DFT, GGA-PBE
State: optimized geometry

The volume comes out at 411.9 Å³/cell. As for the energy relative to the elements: 0.06 eV per atom.

The structure belongs to space group R3m (No. 160, hexagonal axes); the cell edges are 3.6265, 3.6265 and 36.1684 Å and the angles 90.00°, 90.00° and 120.00°. The asymmetric unit holds Ca at (0.0000, 0.0000, 0.0000), Tb at (0.0000, 0.0000, 0.5788), Tb at (0.0000, 0.0000, 0.7535) and Sm at (0.0000, 0.0000, 0.1658).

=====

(3)
Material: Hf6FeS
Method: DFT, GGA-PBE
State: optimized geometry

The volume comes out at 334.3 Å³/cell. As for the formation energy from raw total energies: -0.21 eV/atom.

The structure belongs to space group C2/m (No. 12); the cell edges are 5.976, 9.746 and 6.029 Å and the angles 90.00°, 107.83° and 90.00°. The asymmetric unit holds Hf at (0.241, 0.179, 0.258), Hf at (0.242, 0.500, 0.247), Fe at (0.000, 0.500, 0.500) and S at (0.000, 0.000, 0.000).

=====

(4)
Material: SrZnRu2
Method: DFT, GGA-PBE
State: optimized geometry

The volume comes out at 76.8 Å³/cell. As for the energy relative to the elements: 0.44 eV per atom.

The structure belongs to space group P4/mmm (No. 123); the cell edges are 3.352, 3.352 and 6.836 Å and the angles 90.00°, 90.00° and 90.00°. The asymmetric unit holds Sr at (0.000, 0.000, 0.000), Zn at (0.000, 0.000, 0.500) and Ru at (0.500, 0.500, 0.322).

=====

(5)
Material: RbCd2AgPt
Method: DFT, GGA-PBE
State: optimized geometry

The volume comes out at 150.8 Å³/cell. As for the energy relative to the elements: -0.10 eV per atom.

The structure belongs to space group P4/mmm (No. 123); the cell edges are 5.294, 5.294 and 5.381 Å and the angles 90.00°, 90.00° and 90.00°. The asymmetric unit holds Rb at (0.000, 0.000, 0.000), Cd at (0.000, 0.500, 0.500), Ag at (0.500, 0.500, 0.000) and Pt at (0.500, 0.500, 0.500).

=====

(6)
Material: Pm6OsRu
Method: DFT, GGA-PBE
State: optimized geometry

The volume comes out at 259.5 Å³/cell. As for the energy relative to the elements: -0.08 eV per atom.

The structure belongs to space group P-1 (No. 2); the cell edges are 6.722, 6.724 and 7.679 Å and the angles 115.96°, 90.03° and 119.95°. The asymmetric unit holds Pm at (0.079, 0.329, 0.250), Pm at (0.250, 0.329, 0.750), Pm at (0.420, 0.999, 0.250), Os at (0.500, 0.500, 0.500) and Ru at (0.000, 0.500, 0.000).

=====

(7)
Material: Pr15Nd4Tm
Method: DFT, GGA-PBE
State: optimized geometry

The volume comes out at 715.1 Å³/cell. As for the energy relative to the elements: 0.01 eV per atom.

The structure belongs to space group P4/mmm (No. 123); the cell edges are 5.236, 5.236 and 26.081 Å and the angles 90.00°, 90.00° and 90.00°. The asymmetric unit holds Pr at (0.000, 0.000, 0.000), Pr at (0.000, 0.000, 0.198), Pr at (0.000, 0.000, 0.400), Pr at (0.000, 0.500, 0.098), Pr at (0.000, 0.500, 0.299), Pr at (0.000, 0.500, 0.500), Nd at (0.500, 0.500, 0.198), Nd at (0.500, 0.500, 0.399) and Tm at (0.500, 0.500, 0.000).

=====

(8)
Material: Sr2HAu
Method: DFT, GGA-PBE
State: optimized geometry

The volume comes out at 387.5 Å³/cell. The calculated total energy is -2.90 eV/atom.

The structure belongs to space group R3m (No. 160, hexagonal axes); the cell edges are 4.2384, 4.2384 and 24.9088 Å and the angles 90.00°, 90.00° and 120.00°. The asymmetric unit holds Sr at (0.0000, 0.0000, 0.0000), Sr at (0.0000, 0.0000, 0.1766), H at (0.0000, 0.0000, 0.8106) and Au at (0.0000, 0.0000, 0.5911).

=====

(9)
Material: DyBiPd
Method: DFT, GGA-PBE
State: optimized geometry

The volume comes out at 304.0 Å³/cell. As for the energy relative to the elements: -0.94 eV per atom.

The structure belongs to space group F-43m (No. 216); the cell edges are 6.724, 6.724 and 6.724 Å and the angles 90.00°, 90.00° and 90.00°. The asymmetric unit holds Dy at (0.000, 0.000, 0.000), Bi at (0.000, 0.000, 0.500) and Pd at (0.250, 0.250, 0.750).

=====

(10)
Material: Hf6In2Cu
Method: DFT, GGA-PBE
State: optimized geometry

The volume comes out at 428.9 Å³/cell. As for the energy relative to the elements: 0.39 eV per atom.

The structure belongs to space group C2/m (No. 12); the cell edges are 14.604, 6.708 and 4.611 Å and the angles 90.00°, 108.30° and 90.00°. The asymmetric unit holds Hf at (0.000, 0.230, 0.000), Hf at (0.159, 0.237, 0.659), In at (0.165, 0.500, 0.165) and Cu at (0.000, 0.000, 0.500).

=====

(11)
Material: LaPrCl4
Method: DFT, GGA-PBE
State: optimized geometry

The volume comes out at 301.9 Å³/cell. As for the formation energy from raw total energies: -1.93 eV/atom.

The structure belongs to space group P2_1/c (No. 14); the cell edges are 6.734, 8.837 and 5.241 Å and the angles 90.00°, 104.56° and 90.00°. The asymmetric unit holds La at (0.000, 0.000, 0.000), Pr at (0.500, 0.000, 0.500), Cl at (0.126, 0.154, 0.536) and Cl at (0.378, 0.655, 0.462).

=====

(12)
Material: PdO2F
Method: DFT, GGA-PBE
State: optimized geometry

The volume comes out at 151.6 Å³/cell. As for the formation energy from raw total energies: -0.15 eV/atom.

The structure belongs to space group R-3m (No. 166, hexagonal axes); the cell edges are 3.2339, 3.2339 and 16.7340 Å and the angles 90.00°, 90.00° and 120.00°. The asymmetric unit holds Pd at (0.0000, 0.0000, 0.0000), O at (0.0000, 0.0000, 0.3886) and F at (0.0000, 0.0000, 0.5000).

=====

The lowest volume belongs to which entry?
InAg3